(1)
Density functional theory data (PBEsol) for a geometry-optimized CsPtSe2 structure.

Lattice parameters (Å, degrees): 5.4010 5.4010 5.4010 70.06 70.06 70.06
With the nearest neighbours (Å) after each atom.
Fractional positions:
Se (0.1852, 0.1852, 0.1852)  1 Pt 2.25
Se (0.8148, 0.8148, 0.8148)  1 Pt 2.25
Cs (0.5000, 0.5000, 0.5000)  8 Se 3.59-3.82
Pt (0.0000, 0.0000, 0.0000)  2 Se 2.25

Results
Spin magnetization = 0.0 Bohr magnetons per cell
Space-group type = No. 166
Uncorrected formation energy = -0.07 eV/atom

***

(2)
Density functional theory data (PBEsol) for a geometry-optimized CsPt2Se structure.

Lattice parameters (Å, degrees): 5.4434 5.4434 8.6940 108.24 108.24 90.00
With the nearest neighbours (Å) after each atom.
Fractional positions:
Se (0.5000, 0.5000, 0.0000)  4 Pt 2.38
Se (0.7500, 0.2500, 0.5000)  4 Pt 2.38
Pt (0.1250, 0.3750, 0.7500)  2 Se 2.38
Pt (0.6250, 0.3750, 0.2500)  2 Se 2.38
Pt (0.6250, 0.3750, 0.7500)  2 Se 2.38
Pt (0.6250, 0.8750, 0.2500)  2 Se 2.38
Cs (0.2500, 0.7500, 0.5000)  8 Pt 3.61, 4 Se 3.85
Cs (0.0000, 0.0000, 0.0000)  8 Pt 3.61, 4 Se 3.85

Results
Spin magnetization = 0.0 Bohr magnetons per cell
Space-group type = No. 141
Uncorrected formation energy = -0.31 eV/atom

***

(3)
Density functional theory data (PBEsol) for a geometry-optimized CsSi2Pt2 structure.

Lattice parameters (Å, degrees): 4.0036 4.0036 7.8624 104.75 104.75 90.00
With the nearest neighbours (Å) after each atom.
Fractional positions:
Cs (0.0000, 0.0000, 0.0000)  8 Si 3.66, 4 Cs 4.00
Pt (0.7500, 0.2500, 0.5000)  4 Si 2.42
Pt (0.2500, 0.7500, 0.5000)  4 Si 2.42
Si (0.3424, 0.3424, 0.6847)  4 Pt 2.42
Si (0.6576, 0.6576, 0.3153)  4 Pt 2.42

Results
Spin magnetization = 0.0 Bohr magnetons per cell
Space-group type = No. 139
Uncorrected formation energy = -0.49 eV/atom

***

(4)
Density functional theory data (PBEsol) for a geometry-optimized CsSn2Pt2 structure.

Lattice parameters (Å, degrees): 4.0536 4.0536 8.8258 103.28 103.28 90.00
With the nearest neighbours (Å) after each atom.
Fractional positions:
Cs (0.0000, 0.0000, 0.0000)  8 Sn 3.77, 4 Cs 4.05
Sn (0.3531, 0.3531, 0.7063)  4 Pt 2.66
Sn (0.6469, 0.6469, 0.2937)  4 Pt 2.66
Pt (0.2500, 0.7500, 0.5000)  4 Sn 2.66, 4 Pt 2.87
Pt (0.7500, 0.2500, 0.5000)  4 Sn 2.66, 4 Pt 2.87

Results
Spin magnetization = 0.0 Bohr magnetons per cell
Space-group type = No. 139
Formation enthalpy at 0 K = -385 meV per atom

***

(5)
Density functional theory data (PBEsol) for a geometry-optimized CsSrPt3 structure.

Lattice parameters (Å, degrees): 5.3804 5.3804 5.3804 90.00 90.00 90.00
With the nearest neighbours (Å) after each atom.
Fractional positions:
Pt (0.0000, 0.0000, 0.5000)  2 Sr 2.69
Pt (0.0000, 0.5000, 0.0000)  2 Sr 2.69
Pt (0.5000, 0.0000, 0.0000)  2 Sr 2.69
Cs (0.5000, 0.5000, 0.5000)  12 Pt 3.80
Sr (0.0000, 0.0000, 0.0000)  6 Pt 2.69

Results
Spin magnetization = 0.0 Bohr magnetons per cell
Space-group type = No. 221
Excess energy over the best structure of this formula in the dataset = 0 meV per atom
Formation enthalpy at 0 K = 1131 meV per atom

***

(6)
Density functional theory data (PBEsol) for a geometry-optimized CsSrPt3 structure.

Lattice parameters (Å, degrees): 5.1958 5.1958 5.1958 90.00 90.00 90.00
With the nearest neighbours (Å) after each atom.
Fractional positions:
Cs (0.0000, 0.0000, 0.0000)  6 Pt 2.60
Pt (0.0000, 0.5000, 0.0000)  2 Cs 2.60
Pt (0.5000, 0.0000, 0.0000)  2 Cs 2.60
Pt (0.0000, 0.0000, 0.5000)  2 Cs 2.60
Sr (0.5000, 0.5000, 0.5000)  12 Pt 3.67

Results
Spin magnetization = 0.0 Bohr magnetons per cell
Space-group type = No. 221
Excess energy over the best structure of this formula in the dataset = 90 meV per atom
Formation enthalpy at 0 K = 1222 meV per atom

***

(7)
Density functional theory data (PBEsol) for a geometry-optimized CsSrPt2 structure.

Lattice parameters (Å, degrees): 5.2694 5.2694 5.2694 60.00 60.00 60.00
With the nearest neighbours (Å) after each atom.
Fractional positions:
Cs (0.5000, 0.5000, 0.5000)  8 Pt 3.23
Sr (0.0000, 0.0000, 0.0000)  8 Pt 3.23
Pt (0.7500, 0.7500, 0.7500)  4 Sr 3.23, 4 Cs 3.23
Pt (0.2500, 0.2500, 0.2500)  4 Sr 3.23, 4 Cs 3.23

Results
Spin magnetization = 0.0 Bohr magnetons per cell
Space-group type = No. 225
Formation enthalpy at 0 K = 177 meV per atom

***

(8)
Density functional theory data (PBEsol) for a geometry-optimized CsSr3Pt structure.

Lattice parameters (Å, degrees): 6.0785 6.0785 6.0785 90.00 90.00 90.00
With the nearest neighbours (Å) after each atom.
Fractional positions:
Pt (0.0000, 0.0000, 0.0000)  6 Sr 3.04
Sr (0.0000, 0.5000, 0.0000)  2 Pt 3.04
Sr (0.0000, 0.0000, 0.5000)  2 Pt 3.04
Sr (0.5000, 0.0000, 0.0000)  2 Pt 3.04
Cs (0.5000, 0.5000, 0.5000)  12 Sr 4.30

Results
Spin magnetization = 0.0 Bohr magnetons per cell
Space-group type = No. 221
Formation enthalpy at 0 K = -292 meV per atom

***

(9)
Density functional theory data (PBEsol) for a geometry-optimized Cs2TaTiPt structure.

Lattice parameters (Å, degrees): 4.6485 6.2833 6.2833 90.00 90.00 90.00
With the nearest neighbours (Å) after each atom.
Fractional positions:
Cs (0.0000, 0.5000, 0.0000)  2 Ti 3.14
Cs (0.0000, 0.0000, 0.5000)  2 Ti 3.14
Pt (0.5000, 0.0000, 0.0000)  2 Ti 2.32
Ti (0.0000, 0.0000, 0.0000)  2 Pt 2.32
Ta (0.5000, 0.5000, 0.5000)  8 Cs 3.91

Results
Spin magnetization = 6.3 Bohr magnetons per cell
Space-group type = No. 123
Formation enthalpy at 0 K = 1879 meV per atom

***

(10)
Density functional theory data (PBEsol) for a geometry-optimized CsTl2Pt2 structure.

Lattice parameters (Å, degrees): 3.8896 3.8896 9.6128 101.67 101.67 90.00
With the nearest neighbours (Å) after each atom.
Fractional positions:
Tl (0.3585, 0.3585, 0.7169)  4 Pt 2.79
Tl (0.6415, 0.6415, 0.2831)  4 Pt 2.79
Cs (0.0000, 0.0000, 0.0000)  8 Tl 3.79, 4 Cs 3.89
Pt (0.7500, 0.2500, 0.5000)  4 Pt 2.75, 4 Tl 2.79
Pt (0.2500, 0.7500, 0.5000)  4 Pt 2.75, 4 Tl 2.79

Results
Spin magnetization = 0.0 Bohr magnetons per cell
Space-group type = No. 139
Formation enthalpy at 0 K = -117 meV per atom

***

(11)
Density functional theory data (PBEsol) for a geometry-optimized CsTl3Pt structure.

Lattice parameters (Å, degrees): 4.2087 8.7169 9.6854 114.15 90.00 90.00
With the nearest neighbours (Å) after each atom.
Fractional positions:
Pt (0.7500, 0.1080, 0.5054)  6 Tl 2.73-2.88, 2 Pt 2.80
Pt (0.2500, 0.8920, 0.4946)  6 Tl 2.73-2.88, 2 Pt 2.80
Tl (0.7500, 0.8733, 0.6838)  3 Pt 2.84-3.17
Tl (0.7500, 0.4462, 0.5839)  1 Pt 2.73, 2 Tl 3.03
Tl (0.2500, 0.5538, 0.4161)  1 Pt 2.73, 2 Tl 3.03
Tl (0.7500, 0.7678, 0.2788)  3 Pt 2.85-2.88
Tl (0.2500, 0.2322, 0.7212)  3 Pt 2.85-2.88
Tl (0.2500, 0.1267, 0.3162)  3 Pt 2.84-3.17
Cs (0.7500, 0.2762, 0.0639)  8 Tl 3.81-3.92, 2 Cs 4.21
Cs (0.2500, 0.7238, 0.9361)  8 Tl 3.81-3.92, 2 Cs 4.21

Results
Spin magnetization = 0.0 Bohr magnetons per cell
Space-group type = No. 11
Excess energy over the best structure of this formula in the dataset = 0 meV per atom
Formation enthalpy at 0 K = -129 meV per atom

***

(12)
Density functional theory data (PBEsol) for a geometry-optimized CsTl3Pt structure.

Lattice parameters (Å, degrees): 5.4091 5.4091 5.4091 90.00 90.00 90.00
With the nearest neighbours (Å) after each atom.
Fractional positions:
Pt (0.0000, 0.0000, 0.0000)  6 Tl 2.70
Tl (0.5000, 0.0000, 0.0000)  2 Pt 2.70
Tl (0.0000, 0.0000, 0.5000)  2 Pt 2.70
Tl (0.0000, 0.5000, 0.0000)  2 Pt 2.70
Cs (0.5000, 0.5000, 0.5000)  12 Tl 3.82

Results
Spin magnetization = 0.0 Bohr magnetons per cell
Space-group type = No. 221
Excess energy over the best structure of this formula in the dataset = 98 meV per atom
Formation enthalpy at 0 K = -31 meV per atom

***

(13)
Density functional theory data (PBEsol) for a geometry-optimized CsYPt3 structure.

Lattice parameters (Å, degrees): 5.0792 5.0792 5.0792 90.00 90.00 90.00
With the nearest neighbours (Å) after each atom.
Fractional positions:
Pt (0.0000, 0.5000, 0.0000)  2 Cs 2.54
Pt (0.5000, 0.0000, 0.0000)  2 Cs 2.54
Pt (0.0000, 0.0000, 0.5000)  2 Cs 2.54
Y (0.5000, 0.5000, 0.5000)  12 Pt 3.59
Cs (0.0000, 0.0000, 0.0000)  6 Pt 2.54

Results
Spin magnetization = 0.0 Bohr magnetons per cell
Space-group type = No. 221
Formation enthalpy at 0 K = 1407 meV per atom

***

(14)
Density functional theory data (PBEsol) for a geometry-optimized CsPuZnSe3 structure.

Lattice parameters (Å, degrees): 4.1397 8.1407 10.8317 90.00 90.00 104.73
With the nearest neighbours (Å) after each atom.
Fractional positions:
Pu (0.0000, 0.0000, 0.5000)  6 Se 2.86
Pu (0.0000, 0.0000, 0.0000)  6 Se 2.86
Se (0.9425, 0.8851, 0.7500)  2 Zn 2.54
Se (0.3815, 0.7630, 0.4396)  1 Zn 2.43
Se (0.6185, 0.2370, 0.5604)  1 Zn 2.43
Se (0.0575, 0.1149, 0.2500)  2 Zn 2.54
Se (0.6185, 0.2370, 0.9396)  1 Zn 2.43
Se (0.3815, 0.7630, 0.0604)  1 Zn 2.43
Cs (0.2570, 0.5141, 0.7500)  8 Se 3.58-3.89
Cs (0.7430, 0.4859, 0.2500)  8 Se 3.58-3.89
Zn (0.4637, 0.9274, 0.2500)  4 Se 2.43-2.54
Zn (0.5363, 0.0726, 0.7500)  4 Se 2.43-2.54

Results
Spin magnetization = 10.0 Bohr magnetons per cell
Space-group type = No. 63
Uncorrected formation energy = -1.10 eV/atom

***

| no. | calculated total energy (Ry/atom) |
| --- | --- |
| 1 | -0.2923 |
| 2 | -0.3670 |
| 3 | -0.4235 |
| 4 | -0.3721 |
| 5 | -0.2648 |
| 6 | -0.2582 |
| 7 | -0.2940 |
| 8 | -0.2189 |
| 9 | -0.2988 |
| 10 | -0.3045 |
| 11 | -0.2417 |
| 12 | -0.2345 |
| 13 | -0.3178 |
| 14 | -0.4386 |